A plane-wave DFT calculation with GGA-PBE was carried out for a geometry-optimized YSc4Cd5 structure.

```
YSc4Cd5
1.0
3.5745 0.0000 0.0000
0.0000 3.5745 0.0000
0.0000 0.0000 17.9669
Y Sc Cd
1 4 5
Cartesian
0.0000 0.0000 0.0000
0.0000 0.0000 10.7295
0.0000 0.0000 7.2374
0.0000 0.0000 14.2258
0.0000 0.0000 3.7411
1.7873 1.7873 8.9834
1.7873 1.7873 12.4825
1.7873 1.7873 15.9397
1.7873 1.7873 2.0272
1.7873 1.7873 5.4844
```

Results
The value obtained for the calculated formation energy is -0.300 eV per atom.

=====

A plane-wave DFT calculation with GGA-PBE was carried out for a geometry-optimized CuPdRh structure.

```
CuPdRh
1.0
-3.9547 0.2541 -0.0224
-0.1533 -2.2522 1.5160
0.1651 3.2071 7.2199
Rh Pd Cu
2 2 2
Cartesian
-2.9795 0.4451 5.2373
-0.9634 0.7639 3.4762
-0.8783 2.2903 5.7524
-3.0647 -1.0813 2.9611
-2.8985 1.8967 7.4021
-1.0444 -0.6877 1.3114
```

Results
The value obtained for the relative energy among the computed polymorphs is 0.031 eV/atom. The value obtained for the calculated formation energy is 0.025 eV per atom.